(1)
This record from the Alexandria database describes crystalline YHfPdRu at its relaxed geometry. The functional is PBE-GGA.

The value obtained for the energy of formation is -610 meV per atom.

Unit cell a=4.7646 b=4.7646 c=4.7646 alpha=60.00 beta=60.00 gamma=60.00
Last column: nearest neighbours and their distance in Å.
Sites, in units of the cell vectors:
1 Hf 0.5000 0.5000 0.5000  4 Ru 2.92, 4 Pd 2.92
2 Ru 0.7500 0.7500 0.7500  4 Hf 2.92, 4 Y 2.92
3 Y 0.0000 0.0000 0.0000  4 Pd 2.92, 4 Ru 2.92
4 Pd 0.2500 0.2500 0.2500  4 Hf 2.92, 4 Y 2.92


(2)
This record from the Alexandria database describes crystalline HfPdS2 at its relaxed geometry. The functional is PBE-GGA.

The value obtained for the uncorrected energy is -6.846 eV per atom.

Unit cell a=7.8306 b=7.8306 c=7.8306 alpha=26.50 beta=26.50 gamma=26.50
Last column: nearest neighbours and their distance in Å.
Sites, in units of the cell vectors:
1 S 0.8986 0.8986 0.8986  1 Pd 2.30, 3 Hf 2.55
2 S 0.1014 0.1014 0.1014  1 Pd 2.30, 3 Hf 2.55
3 Pd 0.0000 0.0000 0.0000  2 S 2.30
4 Hf 0.5000 0.5000 0.5000  6 S 2.55


(3)
This record from the Alexandria database describes crystalline Hf2PdS at its relaxed geometry. The functional is PBE-GGA.

The value obtained for the uncorrected energy is -8.184 eV per atom.

Unit cell a=3.2664 b=3.2664 c=8.0795 alpha=78.34 beta=78.34 gamma=60.00
Last column: nearest neighbours and their distance in Å.
Sites, in units of the cell vectors:
1 Hf 0.2423 0.2423 0.2732  3 S 2.60, 3 Pd 2.87
2 Hf 0.0907 0.0907 0.7280  3 S 2.59, 3 Pd 2.84
3 S 0.4996 0.4996 0.5013  6 Hf 2.59-2.60
4 Pd 0.6675 0.6675 0.9976  6 Hf 2.84-2.87


(4)
This record from the Alexandria database describes crystalline HfPd2S4 at its relaxed geometry. The functional is PBE-GGA.

The value obtained for the uncorrected energy is -5.477 eV per atom.

Unit cell a=4.9870 b=4.9870 c=6.9665 alpha=69.03 beta=69.03 gamma=90.00
Last column: nearest neighbours and their distance in Å.
Sites, in units of the cell vectors:
1 Hf 0.0000 0.0000 0.0000  6 S 2.45-2.49
2 Pd 0.6064 0.6064 0.7872  1 S 2.27
3 Pd 0.3936 0.3936 0.2128  1 S 2.27
4 S 0.2043 0.2043 0.5915  1 Pd 2.27, 1 Hf 2.45
5 S 0.0000 0.5000 0.0000  2 Hf 2.49
6 S 0.5000 0.0000 0.0000  2 Hf 2.49
7 S 0.7957 0.7957 0.4085  1 Pd 2.27, 1 Hf 2.45


(5)
This record from the Alexandria database describes crystalline HfPdS2 at its relaxed geometry. The functional is PBE-GGA.

The value obtained for the uncorrected energy is -6.637 eV per atom.

Unit cell a=4.4938 b=4.4938 c=4.4938 alpha=60.00 beta=60.00 gamma=60.00
Last column: nearest neighbours and their distance in Å.
Sites, in units of the cell vectors:
1 Pd 0.0000 0.0000 0.0000  8 S 2.75
2 Hf 0.5000 0.5000 0.5000  8 S 2.75
3 S 0.2500 0.2500 0.2500  4 Hf 2.75, 4 Pd 2.75
4 S 0.7500 0.7500 0.7500  4 Hf 2.75, 4 Pd 2.75


(6)
This record from the Alexandria database describes crystalline Hf2PdS4 at its relaxed geometry. The functional is PBE-GGA.

The value obtained for the uncorrected energy is -6.384 eV per atom.

Unit cell a=4.6288 b=4.6288 c=7.3564 alpha=71.66 beta=71.66 gamma=90.00
Last column: nearest neighbours and their distance in Å.
Sites, in units of the cell vectors:
1 S 0.5000 0.0000 0.0000  2 Pd 2.31
2 S 0.7988 0.7988 0.4025  1 Hf 2.39, 1 Pd 2.65
3 S 0.2012 0.2012 0.5975  1 Hf 2.39, 1 Pd 2.65
4 S 0.0000 0.5000 0.0000  2 Pd 2.31
5 Pd 0.0000 0.0000 0.0000  4 S 2.31
6 Hf 0.3828 0.3828 0.2345  1 S 2.39
7 Hf 0.6172 0.6172 0.7655  1 S 2.39


(7)
This record from the Alexandria database describes crystalline Hf2PdS at its relaxed geometry. The functional is PBE-GGA.

The value obtained for the uncorrected energy is -7.897 eV per atom.

Unit cell a=6.9782 b=6.9782 c=5.8617 alpha=53.47 beta=53.47 gamma=90.00
Last column: nearest neighbours and their distance in Å.
Sites, in units of the cell vectors:
1 S 0.5000 0.5000 0.0000  4 Hf 2.49
2 S 0.2500 0.7500 0.5000  4 Hf 2.49
3 Hf 0.1472 0.6250 0.2500  2 S 2.49, 2 Pd 2.70
4 Hf 0.8750 0.8528 0.7500  2 S 2.49, 2 Pd 2.70
5 Hf 0.6028 0.1250 0.2500  2 S 2.49, 2 Pd 2.70
6 Hf 0.3750 0.3972 0.7500  2 S 2.49, 2 Pd 2.70
7 Pd 0.0000 0.0000 0.0000  4 Hf 2.70
8 Pd 0.7500 0.2500 0.5000  4 Hf 2.70


(8)
This record from the Alexandria database describes crystalline Hf3PdS at its relaxed geometry. The functional is PBE-GGA.

The value obtained for the uncorrected energy is -8.203 eV per atom.

Unit cell a=4.6954 b=4.6954 c=4.6954 alpha=90.00 beta=90.00 gamma=90.00
Last column: nearest neighbours and their distance in Å.
Sites, in units of the cell vectors:
1 S 0.0000 0.0000 0.0000  6 Hf 2.35
2 Hf 0.0000 0.5000 0.0000  2 S 2.35
3 Hf 0.5000 0.0000 0.0000  2 S 2.35
4 Hf 0.0000 0.0000 0.5000  2 S 2.35
5 Pd 0.5000 0.5000 0.5000  12 Hf 3.32


(9)
This record from the Alexandria database describes crystalline Hf2PdS at its relaxed geometry. The functional is PBE-GGA.

The value obtained for the uncorrected energy is -7.695 eV per atom.

Unit cell a=3.1685 b=3.1685 c=9.0686 alpha=79.94 beta=79.94 gamma=60.00
Last column: nearest neighbours and their distance in Å.
Sites, in units of the cell vectors:
1 S 0.5000 0.5000 0.5000  6 Hf 2.63
2 Hf 0.9042 0.9042 0.2873  1 Pd 2.55, 3 S 2.63
3 Hf 0.0958 0.0958 0.7127  1 Pd 2.55, 3 S 2.63
4 Pd 0.0000 0.0000 0.0000  2 Hf 2.55


(10)
This record from the Alexandria database describes crystalline Hf2Pd2S at its relaxed geometry. The functional is PBE-GGA.

The value obtained for the uncorrected energy is -7.622 eV per atom.

Unit cell a=6.9745 b=6.9745 c=3.8576 alpha=90.00 beta=90.00 gamma=90.00
Last column: nearest neighbours and their distance in Å.
Sites, in units of the cell vectors:
1 Pd 0.1330 0.6330 0.5000  1 Pd 2.62, 6 Hf 2.75-2.86
2 Pd 0.6330 0.8670 0.5000  1 Pd 2.62, 6 Hf 2.75-2.86
3 Pd 0.8670 0.3670 0.5000  1 Pd 2.62, 6 Hf 2.75-2.86
4 Pd 0.3670 0.1330 0.5000  1 Pd 2.62, 6 Hf 2.75-2.86
5 S 0.0000 0.0000 0.0000  4 Hf 2.59
6 S 0.5000 0.5000 0.0000  4 Hf 2.59
7 Hf 0.8314 0.6686 0.0000  2 S 2.59, 6 Pd 2.75-2.86
8 Hf 0.6686 0.1686 0.0000  2 S 2.59, 6 Pd 2.75-2.86
9 Hf 0.1686 0.3314 0.0000  2 S 2.59, 6 Pd 2.75-2.86
10 Hf 0.3314 0.8314 0.0000  2 S 2.59, 6 Pd 2.75-2.86


(11)
This record from the Alexandria database describes crystalline HfPdS2 at its relaxed geometry. The functional is PBE-GGA.

The value obtained for the uncorrected energy is -6.718 eV per atom.

Unit cell a=5.5039 b=5.5039 c=6.9980 alpha=66.84 beta=66.84 gamma=90.00
Last column: nearest neighbours and their distance in Å.
Sites, in units of the cell vectors:
1 Hf 0.7500 0.2500 0.5000  4 S 2.42
2 Hf 0.0000 0.0000 0.0000  4 S 2.42
3 S 0.8750 0.8768 0.7500  2 Hf 2.42, 2 Pd 2.43
4 S 0.1232 0.6250 0.2500  2 Hf 2.42, 2 Pd 2.43
5 S 0.3750 0.3732 0.7500  2 Hf 2.42, 2 Pd 2.43
6 S 0.6268 0.1250 0.2500  2 Hf 2.42, 2 Pd 2.43
7 Pd 0.5000 0.5000 0.0000  4 S 2.43
8 Pd 0.2500 0.7500 0.5000  4 S 2.43


(12)
This record from the Alexandria database describes crystalline HfPdS at its relaxed geometry. The functional is PBE-GGA.

The value obtained for the uncorrected energy is -7.534 eV per atom.

Unit cell a=3.4996 b=3.4996 c=8.3146 alpha=90.00 beta=90.00 gamma=90.00
Last column: nearest neighbours and their distance in Å.
Sites, in units of the cell vectors:
1 Hf 0.0000 0.5000 0.2369  4 S 2.63, 5 Pd 2.77-2.95
2 Hf 0.5000 0.0000 0.7631  4 S 2.63, 5 Pd 2.77-2.95
3 S 0.0000 0.5000 0.8713  1 Pd 2.50, 4 Hf 2.63
4 S 0.5000 0.0000 0.1287  1 Pd 2.50, 4 Hf 2.63
5 Pd 0.0000 0.5000 0.5705  1 S 2.50, 4 Pd 2.74, 1 Hf 2.77
6 Pd 0.5000 0.0000 0.4295  1 S 2.50, 4 Pd 2.74, 1 Hf 2.77


Number 1: volume 76.5 Å³/cell. Number 2: volume 84.3 Å³/cell. Number 3: volume 72.6 Å³/cell. Number 4: volume 149.4 Å³/cell. Number 5: volume 64.2 Å³/cell. Number 6: volume 141.2 Å³/cell. Number 7: volume 154.1 Å³/cell. Number 8: volume 103.5 Å³/cell. Number 9: volume 77.2 Å³/cell. Number 10: volume 187.6 Å³/cell. Number 11: volume 176.2 Å³/cell. Number 12: volume 101.8 Å³/cell.